Entry 1:
The following is a meta-GGA SCAN calculation of a PBEsol-optimized structure of AlIr2Pb, from Alexandria.

The structure in POSCAR format:
```
AlIr2Pb
1.0
4.2799 -1.4924 0.0000
4.2799 1.4924 0.0000
-1.0501 0.0000 5.1635
Al Ir Pb
1 2 1
Cartesian
0.0000 0.0000 0.0000
1.4331 0.0000 4.0393
6.0767 0.0000 1.1242
3.7549 0.0000 2.5817
```

Calculated values
formation energy: 0.052 eV/atom


Entry 2:
The following is a meta-GGA SCAN calculation of a PBEsol-optimized structure of TaCd2InAs, from Alexandria.

The structure in POSCAR format:
```
TaCd2InAs
1.0
5.0373 0.0000 0.0000
0.0000 5.0373 0.0000
0.0000 0.0000 5.2835
Ta Cd In As
1 2 1 1
Cartesian
0.0000 0.0000 0.0000
0.0000 2.5187 2.6417
2.5187 0.0000 2.6417
0.0000 0.0000 2.6417
2.5187 2.5187 0.0000
```

Calculated values
formation energy: 1.317 eV/atom


Entry 3:
The following is a meta-GGA SCAN calculation of a PBEsol-optimized structure of Y4CdNi, from Alexandria.

The structure in POSCAR format:
```
Y4CdNi
1.0
0.0000 6.6606 6.6606
6.6606 0.0000 6.6606
6.6606 6.6606 0.0000
Y Cd Ni
16 4 4
Cartesian
3.3303 3.3303 0.8080
3.3303 0.8080 3.3303
5.8526 3.3303 3.3303
6.6606 6.6606 2.4845
6.6606 2.4845 6.6606
10.8367 6.6606 6.6606
7.9795 5.3417 5.3417
0.8080 3.3303 3.3303
3.3303 5.8526 3.3303
3.3303 3.3303 5.8526
5.3417 7.9795 5.3417
5.3417 5.3417 7.9795
7.9795 7.9795 7.9795
2.4845 6.6606 6.6606
6.6606 10.8367 6.6606
6.6606 6.6606 10.8367
11.0648 8.9171 8.9171
8.9171 11.0648 8.9171
8.9171 8.9171 11.0648
11.0648 11.0648 11.0648
5.2292 5.2292 5.2292
8.0921 8.0921 5.2292
8.0921 5.2292 8.0921
5.2292 8.0921 8.0921
```

Calculated values
formation energy: -0.358 eV/atom


Entry 4:
The following is a meta-GGA SCAN calculation of a PBEsol-optimized structure of SiPdRhBr2, from Alexandria.

The structure in POSCAR format:
```
SiPdRhBr2
1.0
5.0335 0.0000 0.0000
0.0000 5.0335 0.0000
0.0000 0.0000 4.5348
Si Pd Rh Br
1 1 1 2
Cartesian
0.0000 0.0000 0.0000
0.0000 0.0000 2.2674
2.5167 2.5167 0.0000
0.0000 2.5167 2.2674
2.5167 0.0000 2.2674
```

Calculated values
formation energy (no corrections): 0.853 eV/atom


| no. | total moment (μB per formula unit) | electronic total energy (eV for the cell shown) |
| --- | --- | --- |
| 1 | 0.0 | -225.5 |
| 2 | 1.3 | -174.4 |
| 3 | 0.0 | -640.4 |
| 4 | 1.6 | -111.2 |